w.
Computed, not measured: NaSe2I2 after structural relaxation at the PBE-GGA level of DFT.

Cell lengths 8.925, 8.925, 5.688 Å; angles 90.00, 90.00, 90.00 degrees
Last column: magnetic moment on the atom in μB.
Fractional positions:
Se 0.414 0.086 0.500  0.29
Se 0.586 0.914 0.500  0.29
Se 0.914 0.414 0.500  0.29
Se 0.086 0.586 0.500  0.29
I 0.727 0.773 0.000  0.00
I 0.227 0.727 0.000  0.00
I 0.773 0.273 0.000  0.00
I 0.273 0.227 0.000  0.00
Na 0.500 0.500 0.000  0.00
Na 0.000 0.000 0.000  0.00

Results
Fermi-level density of states = 0.00 states/eV/f.u.
crystal system = tetragonal

---

x.
Computed, not measured: NaSe2I2 after structural relaxation at the PBE-GGA level of DFT.

Cell lengths 9.452, 6.649, 10.857 Å; angles 117.84, 90.00, 135.30 degrees
Fractional positions:
Se 0.312 0.202 0.429
Se 0.688 0.798 0.571
Se 0.890 0.202 0.929
Se 0.110 0.798 0.071
Na 0.597 0.000 0.250
Na 0.403 0.000 0.750
I 0.605 0.469 0.159
I 0.864 0.469 0.659
I 0.136 0.531 0.341
I 0.395 0.531 0.841

Results
Fermi-level density of states = 1.09 states/eV/f.u.
crystal system = monoclinic

---

y.
Computed, not measured: NaSe2I2 after structural relaxation at the PBE-GGA level of DFT.

Cell lengths 8.706, 8.706, 4.816 Å; angles 90.00, 90.00, 90.00 degrees
Fractional positions:
Na 0.000 0.000 0.000
Na 0.500 0.500 0.000
Se 0.410 0.910 0.000
Se 0.590 0.090 0.000
Se 0.090 0.410 0.000
Se 0.910 0.590 0.000
I 0.740 0.760 0.500
I 0.260 0.240 0.500
I 0.760 0.260 0.500
I 0.240 0.740 0.500

Results
Fermi-level density of states = 5.15 states/eV/f.u.
crystal system = tetragonal

---

z.
Computed, not measured: NaSe2I2 after structural relaxation at the PBE-GGA level of DFT.

Cell lengths 3.952, 3.952, 10.138 Å; angles 78.76, 78.76, 90.00 degrees
Fractional positions:
Se 0.750 0.250 0.500
Se 0.250 0.750 0.500
I 0.584 0.584 0.831
I 0.416 0.416 0.169
Na 0.000 0.000 0.000

Results
Fermi-level density of states = 4.46 states/eV/f.u.
crystal system = tetragonal

---

Of them, x has the highest stability.

---

w.
Computed, not measured: Na3SeI after structural relaxation at the PBE-GGA level of DFT.

Cell lengths 5.669, 5.669, 5.669 Å; angles 90.00, 90.00, 90.00 degrees
Fractional positions:
Na 0.000 0.500 0.000
Na 0.000 0.000 0.500
Na 0.500 0.000 0.000
I 0.000 0.000 0.000
Se 0.500 0.500 0.500

Results
Fermi-level density of states = 0.00 states/eV/f.u.
crystal system = cubic

---

x.
Computed, not measured: Na3SeI after structural relaxation at the PBE-GGA level of DFT.

Cell lengths 8.086, 8.983, 8.983 Å; angles 72.36, 90.12, 90.12 degrees
Fractional positions:
Se 0.643 0.196 0.303
Se 0.357 0.804 0.697
Se 0.143 0.303 0.196
Se 0.857 0.697 0.804
Na 0.914 0.323 0.442
Na 0.086 0.677 0.558
Na 0.323 0.066 0.427
Na 0.677 0.934 0.573
Na 0.913 0.054 0.180
Na 0.586 0.558 0.677
Na 0.587 0.820 0.946
Na 0.177 0.573 0.934
Na 0.087 0.946 0.820
Na 0.414 0.442 0.323
Na 0.823 0.427 0.066
Na 0.413 0.180 0.054
I 0.750 0.169 0.831
I 0.250 0.331 0.669
I 0.750 0.669 0.331
I 0.250 0.831 0.169

Results
crystal system = monoclinic

---

y.
Computed, not measured: Na3SeI after structural relaxation at the PBE-GGA level of DFT.

Cell lengths 5.142, 9.038, 12.419 Å; angles 90.00, 90.00, 90.00 degrees
Fractional positions:
Se 0.500 0.000 0.000
Se 0.000 0.500 0.500
Se 0.500 0.000 0.500
Se 0.000 0.500 0.000
Na 0.500 0.667 0.948
Na 0.000 0.167 0.948
Na 0.500 0.333 0.448
Na 0.500 0.003 0.250
Na 0.000 0.167 0.552
Na 0.500 0.333 0.052
Na 0.000 0.833 0.052
Na 0.500 0.997 0.750
Na 0.000 0.503 0.250
Na 0.500 0.667 0.552
Na 0.000 0.497 0.750
Na 0.000 0.833 0.448
I 0.500 0.672 0.250
I 0.000 0.172 0.250
I 0.500 0.328 0.750
I 0.000 0.828 0.750

Results
Fermi-level density of states = 0.00 states/eV/f.u.
crystal system = orthorhombic

---

Of them, x has the highest stability.

---

w.
Computed, not measured: NaSeI2 after structural relaxation at the PBE-GGA level of DFT.

Cell lengths 6.071, 6.071, 10.086 Å; angles 72.48, 72.48, 90.00 degrees
Fractional positions:
Se 0.000 0.000 0.000
Se 0.750 0.250 0.500
I 0.677 0.125 0.250
I 0.073 0.625 0.250
I 0.375 0.323 0.750
I 0.875 0.927 0.750
Na 0.500 0.500 0.000
Na 0.250 0.750 0.500

Results
Fermi-level density of states = 1.09 states/eV/f.u.
crystal system = tetragonal

---

x.
Computed, not measured: NaSeI2 after structural relaxation at the PBE-GGA level of DFT.

Cell lengths 5.154, 5.154, 9.505 Å; angles 74.27, 74.27, 60.00 degrees
Last column: magnetic moment on the atom in μB.
Fractional positions:
I 0.894 0.894 0.319  0.29
I 0.106 0.106 0.681  0.29
Se 0.500 0.500 0.500  1.18
Na 0.000 0.000 0.000  0.01

Results
Fermi-level density of states = 3.63 states/eV/f.u.
crystal system = trigonal

---

Of them, w has the highest stability.

---

w.
Computed, not measured: NaSeI after structural relaxation at the PBE-GGA level of DFT.

Cell lengths 3.992, 6.398, 7.851 Å; angles 79.67, 89.99, 71.81 degrees
Fractional positions:
I 0.203 0.885 0.470
I 0.392 0.508 0.125
Na 0.923 0.445 0.471
Na 0.672 0.948 0.125
Se 0.006 0.278 0.871
Se 0.588 0.115 0.724

Results
Fermi-level density of states = 0.71 states/eV/f.u.
crystal system = monoclinic

---

x.
Computed, not measured: NaSeI after structural relaxation at the PBE-GGA level of DFT.

Cell lengths 5.221, 7.557, 11.016 Å; angles 84.91, 90.00, 90.00 degrees
Fractional positions:
Na 0.250 0.833 0.408
Na 0.750 0.612 0.850
Na 0.750 0.167 0.592
Na 0.250 0.388 0.150
Se 0.750 0.843 0.250
Se 0.250 0.157 0.750
Se 0.750 0.585 0.149
Se 0.250 0.415 0.851
I 0.250 0.859 0.909
I 0.750 0.141 0.091
I 0.250 0.251 0.434
I 0.750 0.749 0.566

Results
crystal system = monoclinic

---

Of them, w has the highest stability.

---

w.
Computed, not measured: NaSe2I after structural relaxation at the PBE-GGA level of DFT.

Cell lengths 9.446, 9.446, 9.446 Å; angles 23.97, 23.97, 23.97 degrees
Fractional positions:
Se 0.904 0.904 0.904
Se 0.096 0.096 0.096
Na 0.500 0.500 0.500
I 0.000 0.000 0.000

Results
Fermi-level density of states = 2.96 states/eV/f.u.
crystal system = trigonal

---

x.
Computed, not measured: NaSe2I after structural relaxation at the PBE-GGA level of DFT.

Cell lengths 5.285, 5.285, 5.285 Å; angles 60.00, 60.00, 60.00 degrees
Fractional positions:
Se 0.250 0.250 0.250
Se 0.750 0.750 0.750
Na 0.000 0.000 0.000
I 0.500 0.500 0.500

Results
Fermi-level density of states = 4.92 states/eV/f.u.
crystal system = cubic

---

y.
Computed, not measured: NaSe2I after structural relaxation at the PBE-GGA level of DFT.

Cell lengths 6.089, 6.089, 9.094 Å; angles 70.44, 70.44, 90.00 degrees
Fractional positions:
Se 0.079 0.625 0.250
Se 0.671 0.125 0.250
Se 0.375 0.329 0.750
Se 0.875 0.921 0.750
Na 0.250 0.750 0.500
Na 0.500 0.500 0.000
I 0.000 0.000 0.000
I 0.750 0.250 0.500

Results
Fermi-level density of states = 0.00 states/eV/f.u.
crystal system = tetragonal

---

Of them, w has the highest stability.

---

w.
Computed, not measured: Na2SeI after structural relaxation at the PBE-GGA level of DFT.

Cell lengths 5.379, 5.379, 5.379 Å; angles 60.00, 60.00, 60.00 degrees
Fractional positions:
Se 0.000 0.000 0.000
Na 0.250 0.250 0.250
Na 0.750 0.750 0.750
I 0.500 0.500 0.500

Results
Fermi-level density of states = 4.87 states/eV/f.u.
crystal system = cubic

---

x.
Computed, not measured: Na2SeI after structural relaxation at the PBE-GGA level of DFT.

Cell lengths 8.321, 8.321, 6.770 Å; angles 52.09, 52.09, 90.00 degrees
Fractional positions:
I 0.750 0.250 0.500
I 0.000 0.000 0.000
Na 0.875 0.837 0.750
Na 0.163 0.625 0.250
Na 0.375 0.413 0.750
Na 0.587 0.125 0.250
Se 0.500 0.500 0.000
Se 0.250 0.750 0.500

Results
Fermi-level density of states = 1.24 states/eV/f.u.
crystal system = tetragonal

---

Of them, x has the highest stability.